[1]
The following is a PBE calculation of an optimized crystal structure of Ho2Al3Cu12Au, from the Alexandria database.

Output
energy of formation from the pure elements = 33 meV per atom

a = 11.7625 Å, b = 11.7625 Å, c = 11.7625 Å
α = 26.58°, β = 26.58°, γ = 26.58°
Closest atoms and distances in Å follow each position.
Sites, in units of the cell vectors:
Cu  0.1133  0.1133  0.5986  4 Cu 2.43-2.62, 1 Au 2.55
Cu  0.8867  0.4014  0.8867  4 Cu 2.43-2.62, 1 Au 2.55
Cu  0.5971  0.1410  0.5971  4 Cu 2.43-2.47, 2 Al 2.48
Cu  0.4014  0.8867  0.8867  4 Cu 2.43-2.62, 1 Au 2.55
Cu  0.4029  0.4029  0.8590  4 Cu 2.43-2.47, 2 Al 2.48
Cu  0.4029  0.8590  0.4029  4 Cu 2.43-2.47, 2 Al 2.48
Cu  0.8590  0.4029  0.4029  4 Cu 2.43-2.47, 2 Al 2.48
Cu  0.5971  0.5971  0.1410  4 Cu 2.43-2.47, 2 Al 2.48
Cu  0.1410  0.5971  0.5971  4 Cu 2.43-2.47, 2 Al 2.48
Cu  0.1133  0.5986  0.1133  4 Cu 2.43-2.62, 1 Au 2.55
Cu  0.8867  0.8867  0.4014  4 Cu 2.43-2.62, 1 Au 2.55
Cu  0.5986  0.1133  0.1133  4 Cu 2.43-2.62, 1 Au 2.55
Au  0.0000  0.0000  0.0000  6 Cu 2.55
Ho  0.3581  0.3581  0.3581  12 Cu 2.93-3.28, 3 Au 3.23
Ho  0.6419  0.6419  0.6419  12 Cu 2.93-3.28, 3 Au 3.23
Al  0.5000  0.0000  0.0000  4 Cu 2.48, 4 Al 2.70
Al  0.0000  0.5000  0.0000  4 Cu 2.48, 4 Al 2.70
Al  0.0000  0.0000  0.5000  4 Cu 2.48, 4 Al 2.70

[2]
The following is a PBE calculation of an optimized crystal structure of Cs2NaNp2O7, from the Alexandria database.

Output
energy relative to the elements, uncorrected = -2497 meV/atom

a = 4.3156 Å, b = 4.3156 Å, c = 12.3721 Å
α = 79.97°, β = 79.97°, γ = 90.00°
Closest atoms and distances in Å follow each position.
Sites, in units of the cell vectors:
Na  0.0000  0.0000  0.0000  12 O 2.96-3.05
O  0.4155  0.9155  0.1695  2 Np 2.16
O  0.5000  0.5000  0.0000  2 Np 2.10
O  0.0845  0.5845  0.8305  2 Np 2.16
O  0.6690  0.6690  0.6611  1 Np 1.97
O  0.5845  0.0845  0.8305  2 Np 2.16
O  0.9155  0.4155  0.1695  2 Np 2.16
O  0.3310  0.3310  0.3389  1 Np 1.97
Cs  0.8114  0.8114  0.3779  9 O 3.09-3.40
Cs  0.1886  0.1886  0.6221  9 O 3.09-3.40
Np  0.5872  0.5872  0.8252  6 O 1.97-2.16
Np  0.4128  0.4128  0.1748  6 O 1.97-2.16

[3]
The following is a PBE calculation of an optimized crystal structure of KP2IO, from the Alexandria database.

Output
energy relative to the elements, uncorrected = 591 meV/atom
E above lowest polymorph = 0 meV per atom

a = 5.4098 Å, b = 5.4098 Å, c = 4.1622 Å
α = 90.00°, β = 90.00°, γ = 90.00°
Closest atoms and distances in Å follow each position.
Sites, in units of the cell vectors:
P  0.5000  0.0000  0.0000  2 I 2.70
P  0.0000  0.5000  0.0000  2 I 2.70
K  0.5000  0.5000  0.5000  8 P 3.41
O  0.0000  0.0000  0.5000  2 I 2.08
I  0.0000  0.0000  0.0000  2 O 2.08

[4]
The following is a PBE calculation of an optimized crystal structure of ZrBe10Cu, from the Alexandria database.

Output
energy of formation from the pure elements = -101 meV per atom

a = 3.5524 Å, b = 4.2928 Å, c = 7.6964 Å
α = 90.00°, β = 90.00°, γ = 90.00°
Closest atoms and distances in Å follow each position.
Sites, in units of the cell vectors:
Be  0.5000  0.7421  0.2503  8 Be 2.08-2.22
Be  0.0000  0.0000  0.3020  6 Be 2.13-2.34, 1 Cu 2.32
Be  0.5000  0.5000  0.0000  8 Be 2.14-2.19
Be  0.0000  0.5000  0.1541  7 Be 2.14-2.37
Be  0.5000  0.2579  0.7497  8 Be 2.08-2.22
Be  0.0000  0.5000  0.8459  7 Be 2.14-2.37
Be  0.5000  0.7421  0.7497  8 Be 2.08-2.22
Be  0.0000  0.0000  0.6980  6 Be 2.13-2.34, 1 Cu 2.32
Be  0.5000  0.2579  0.2503  8 Be 2.08-2.22
Be  0.5000  0.0000  0.5000  8 Be 2.22-2.34
Zr  0.0000  0.5000  0.5000  18 Be 2.63-2.82
Cu  0.0000  0.0000  0.0000  6 Be 2.32-2.45

[5]
The following is a PBE calculation of an optimized crystal structure of In2Bi3Pb8, from the Alexandria database.

Output
energy of formation from the pure elements = 63 meV per atom
E above lowest polymorph = 0 meV per atom

a = 6.1223 Å, b = 8.6033 Å, c = 8.6033 Å
α = 84.54°, β = 74.02°, γ = 74.02°
Closest atoms and distances in Å follow each position.
Sites, in units of the cell vectors:
Pb  0.3904  0.8955  0.3972  2 In 3.34-3.59, 3 Pb 3.38-3.46, 3 Bi 3.38-3.54
Pb  0.3904  0.3972  0.8955  2 In 3.34-3.59, 3 Pb 3.38-3.46, 3 Bi 3.38-3.54
Pb  0.0821  0.8512  0.8512  2 In 3.29-3.60, 3 Bi 3.36, 2 Pb 3.47-3.54
Pb  0.7907  0.4380  0.4380  2 In 3.22-3.35, 5 Pb 3.31-3.48, 2 Bi 3.41
Pb  0.6096  0.6028  0.1045  2 In 3.34-3.59, 3 Pb 3.38-3.46, 3 Bi 3.38-3.54
Pb  0.9179  0.1488  0.1488  2 In 3.29-3.60, 3 Bi 3.36, 2 Pb 3.47-3.54
Pb  0.2093  0.5620  0.5620  2 In 3.22-3.35, 5 Pb 3.31-3.48, 2 Bi 3.41
Pb  0.6096  0.1045  0.6028  2 In 3.34-3.59, 3 Pb 3.38-3.46, 3 Bi 3.38-3.54
Bi  0.0000  0.2466  0.7534  8 Pb 3.36-3.54
Bi  0.0000  0.7534  0.2466  8 Pb 3.36-3.54
Bi  0.5000  0.0000  0.0000  2 In 3.35, 8 Pb 3.36-3.71
In  0.3427  0.2821  0.2821  8 Pb 3.22-3.60, 1 Bi 3.35
In  0.6573  0.7179  0.7179  8 Pb 3.22-3.60, 1 Bi 3.35

[6]
The following is a PBE calculation of an optimized crystal structure of La4Pm2ErTm2, from the Alexandria database.

Output
energy of formation from the pure elements = 33 meV per atom

a = 5.1882 Å, b = 8.1897 Å, c = 8.0718 Å
α = 107.71°, β = 90.00°, γ = 108.47°
Closest atoms and distances in Å follow each position.
Sites, in units of the cell vectors:
Er  0.0000  0.0000  0.0000  6 La 3.61-3.63, 2 Pm 3.61, 4 Tm 3.67
Pm  0.8877  0.7754  0.3288  3 Tm 3.60-3.61, 1 Er 3.61, 7 La 3.64-3.69, 1 Pm 3.69
Pm  0.1123  0.2246  0.6712  3 Tm 3.60-3.61, 1 Er 3.61, 7 La 3.64-3.69, 1 Pm 3.69
La  0.5541  0.1081  0.3275  2 Tm 3.60-3.62, 2 Er 3.61, 4 Pm 3.66-3.69, 4 La 3.67-3.69
La  0.7767  0.5535  0.6702  3 Tm 3.59-3.62, 1 Er 3.63, 3 Pm 3.64-3.69, 5 La 3.67-3.69
La  0.4459  0.8919  0.6725  2 Tm 3.60-3.62, 2 Er 3.61, 4 Pm 3.66-3.69, 4 La 3.67-3.69
La  0.2233  0.4465  0.3298  3 Tm 3.59-3.62, 1 Er 3.63, 3 Pm 3.64-3.69, 5 La 3.67-3.69
Tm  0.3327  0.6654  0.0003  5 La 3.59-3.62, 3 Pm 3.60-3.61, 2 Tm 3.65, 2 Er 3.67
Tm  0.6673  0.3346  0.9997  5 La 3.59-3.62, 3 Pm 3.60-3.61, 2 Tm 3.65, 2 Er 3.67

Size of the total moment / μB per atom: 0.00; 0.25; 0.37; 0.00; 0.00; 0.00
DOS at the Fermi energy / states/eV/cell: 9.189; 5.156; 3.210; 2.823; 6.678; 16.115
Mass density / Mg/m³: 7.9; 6.5; 3.3; 3.5; 10.0; 7.3